Below is a relaxed structure of Cs2AgH, with properties calculated at the PBE level.

Properties
energy above the lowest structure with this stoichiometry: 0.033 eV per atom
electronic total energy: -1.99 eV per atom
magnetic moment: 0.00 μB per cell

a = 4.8525 Å, b = 4.8525 Å, c = 25.3832 Å
α = 90.00°, β = 90.00°, γ = 120.00°
Space group R-3m (No. 166, hexagonal axes)
Symmetry-distinct sites (fractional):
Cs 0.0000 0.0000 0.2357
Ag 0.0000 0.0000 0.0000
H 0.0000 0.0000 0.5000